The following is a DFT calculation (PBE) of an optimized crystal structure of TmTl3S3.

Summary:
uncorrected formation energy = -1.0106 eV per atom
space group = P2_1/m
E = -4.432 eV per atom

a b c (Å): 8.733 4.018 11.846
angles (deg): 90.00 93.20 90.00
Positions (direct):
Tm (0.113, 0.250, 0.384)
Tm (0.887, 0.750, 0.616)
Tl (0.145, 0.250, 0.875)
Tl (0.336, 0.750, 0.144)
Tl (0.384, 0.750, 0.637)
Tl (0.616, 0.250, 0.363)
Tl (0.664, 0.250, 0.856)
Tl (0.855, 0.750, 0.125)
S (0.096, 0.250, 0.155)
S (0.100, 0.250, 0.613)
S (0.324, 0.750, 0.392)
S (0.676, 0.250, 0.608)
S (0.900, 0.750, 0.387)
S (0.904, 0.750, 0.845)

The following is a DFT calculation (PBE) of an optimized crystal structure of Tm3Tl5S12.

Summary:
uncorrected formation energy = -0.7061 eV per atom
space group = Ia-3d
E = -4.445 eV per atom

a b c (Å): 13.752 13.752 13.752
angles (deg): 109.47 109.47 109.47
Positions (direct):
Tm (0.125, 0.250, 0.375)
Tm (0.125, 0.375, 0.750)
Tm (0.250, 0.375, 0.125)
Tm (0.250, 0.875, 0.625)
Tm (0.375, 0.125, 0.250)
Tm (0.375, 0.750, 0.125)
Tm (0.625, 0.250, 0.875)
Tm (0.625, 0.875, 0.750)
Tm (0.750, 0.125, 0.375)
Tm (0.750, 0.625, 0.875)
Tm (0.875, 0.625, 0.250)
Tm (0.875, 0.750, 0.625)
Tl (0.000, 0.000, 0.000)
Tl (0.000, 0.000, 0.500)
Tl (0.000, 0.500, 0.000)
Tl (0.000, 0.500, 0.500)
Tl (0.125, 0.750, 0.875)
Tl (0.125, 0.875, 0.250)
Tl (0.250, 0.125, 0.875)
Tl (0.250, 0.625, 0.375)
Tl (0.375, 0.250, 0.625)
Tl (0.375, 0.625, 0.750)
Tl (0.500, 0.000, 0.000)
Tl (0.500, 0.000, 0.500)
Tl (0.500, 0.500, 0.000)
Tl (0.500, 0.500, 0.500)
Tl (0.625, 0.375, 0.250)
Tl (0.625, 0.750, 0.375)
Tl (0.750, 0.375, 0.625)
Tl (0.750, 0.875, 0.125)
Tl (0.875, 0.125, 0.750)
Tl (0.875, 0.250, 0.125)
S (0.051, 0.223, 0.137)
S (0.051, 0.328, 0.914)
S (0.086, 0.637, 0.414)
S (0.086, 0.723, 0.672)
S (0.086, 0.863, 0.414)
S (0.086, 0.949, 0.672)
S (0.137, 0.051, 0.223)
S (0.137, 0.586, 0.914)
S (0.172, 0.223, 0.586)
S (0.172, 0.449, 0.586)
S (0.223, 0.137, 0.051)
S (0.223, 0.586, 0.172)
S (0.277, 0.328, 0.914)
S (0.277, 0.449, 0.363)
S (0.328, 0.914, 0.051)
S (0.328, 0.914, 0.277)
S (0.363, 0.277, 0.449)
S (0.363, 0.586, 0.914)
S (0.414, 0.086, 0.637)
S (0.414, 0.086, 0.863)
S (0.414, 0.828, 0.551)
S (0.414, 0.828, 0.777)
S (0.449, 0.363, 0.277)
S (0.449, 0.586, 0.172)
S (0.551, 0.414, 0.828)
S (0.551, 0.637, 0.723)
S (0.586, 0.172, 0.223)
S (0.586, 0.172, 0.449)
S (0.586, 0.914, 0.137)
S (0.586, 0.914, 0.363)
S (0.637, 0.414, 0.086)
S (0.637, 0.723, 0.551)
S (0.672, 0.086, 0.723)
S (0.672, 0.086, 0.949)
S (0.723, 0.551, 0.637)
S (0.723, 0.672, 0.086)
S (0.777, 0.414, 0.828)
S (0.777, 0.863, 0.949)
S (0.828, 0.551, 0.414)
S (0.828, 0.777, 0.414)
S (0.863, 0.414, 0.086)
S (0.863, 0.949, 0.777)
S (0.914, 0.051, 0.328)
S (0.914, 0.137, 0.586)
S (0.914, 0.277, 0.328)
S (0.914, 0.363, 0.586)
S (0.949, 0.672, 0.086)
S (0.949, 0.777, 0.863)

The following is a DFT calculation (PBE) of an optimized crystal structure of Tm3TlS6.

Summary:
uncorrected formation energy = 0.0571 eV per atom
relative energy among the computed polymorphs = 1.603 eV/atom
space group = Cmmm
E = -3.997 eV per atom

a b c (Å): 10.251 10.251 10.255
angles (deg): 90.00 90.00 91.28
Positions (direct):
Tm (0.000, 0.000, 0.000)
Tm (0.000, 0.500, 0.500)
Tm (0.500, 0.000, 0.500)
Tl (0.000, 0.000, 0.500)
S (0.000, 0.000, 0.232)
S (0.000, 0.000, 0.768)
S (0.003, 0.268, 0.500)
S (0.268, 0.003, 0.500)
S (0.732, 0.997, 0.500)
S (0.997, 0.732, 0.500)

The following is a DFT calculation (PBE) of an optimized crystal structure of Tm4TlS2.

Summary:
uncorrected formation energy = -1.1918 eV per atom
space group = R-3m
E = -5.264 eV per atom

a b c (Å): 14.229 14.229 14.229
angles (deg): 15.09 15.09 15.09
Positions (direct):
Tm (0.133, 0.133, 0.133)
Tm (0.277, 0.277, 0.277)
Tm (0.723, 0.723, 0.723)
Tm (0.867, 0.867, 0.867)
Tl (0.000, 0.000, 0.000)
S (0.427, 0.427, 0.427)
S (0.573, 0.573, 0.573)

The following is a DFT calculation (PBE) of an optimized crystal structure of Tm5TlS4.

Summary:
uncorrected formation energy = -1.5522 eV per atom
space group = C2/m
E = -5.676 eV per atom

a b c (Å): 6.837 6.837 9.938
angles (deg): 118.68 118.68 32.84
Positions (direct):
Tm (0.000, 0.000, 0.000)
Tm (0.203, 0.203, 0.816)
Tm (0.388, 0.388, 0.614)
Tm (0.612, 0.612, 0.386)
Tm (0.797, 0.797, 0.184)
Tl (0.000, 0.000, 0.500)
S (0.202, 0.202, 0.286)
S (0.404, 0.404, 0.098)
S (0.596, 0.596, 0.902)
S (0.798, 0.798, 0.714)

The following is a DFT calculation (PBE) of an optimized crystal structure of TmTlS2.

Summary:
uncorrected formation energy = -1.4732 eV per atom
space group = R3m
E = -5.246 eV per atom

a b c (Å): 3.962 3.962 22.858
angles (deg): 90.00 90.00 120.00
Positions (direct):
Tm (0.000, 0.000, 0.000)
Tm (0.333, 0.667, 0.667)
Tm (0.667, 0.333, 0.333)
Tl (0.000, 0.000, 0.831)
Tl (0.333, 0.667, 0.497)
Tl (0.667, 0.333, 0.164)
S (0.000, 0.000, 0.399)
S (0.000, 0.000, 0.603)
S (0.333, 0.667, 0.065)
S (0.333, 0.667, 0.269)
S (0.667, 0.333, 0.732)
S (0.667, 0.333, 0.936)

It is found that the magnetization values, taken in the order of the records, are 0.0, 0.0, 0.0, 0.0, 0.0, 0.0 μB per formula unit.